This record from the Alexandria database describes crystalline Tc2NiCl at its relaxed geometry. The functional is GGA-PBE.

Geometry as CIF:
```
data_Tc2NiCl
_chemical_formula_sum 'Tc8 Ni4 Cl4'
_symmetry_space_group_name_H-M 'I -4 2 d'
_symmetry_Int_Tables_number 122
_symmetry_space_group_name_Hall 'I -4 2bw'
_cell_length_a 5.101
_cell_length_b 5.101
_cell_length_c 11.157
_cell_angle_alpha 90.00
_cell_angle_beta 90.00
_cell_angle_gamma 90.00
loop_
_atom_site_label
_atom_site_type_symbol
_atom_site_fract_x
_atom_site_fract_y
_atom_site_fract_z
Tc1 Tc 0.241 0.250 0.125
Ni1 Ni 0.000 0.000 0.500
Cl1 Cl 0.000 0.000 0.000
```

Values from the calculation:
For the energy above the lowest structure with this stoichiometry, the calculation gives 87.7 kJ per mole of atoms.

=====

This record from the Alexandria database describes crystalline Li4PdPb3 at its relaxed geometry. The functional is GGA-PBE.

Geometry as CIF:
```
data_Li4PdPb3
_chemical_formula_sum 'Li8 Pd2 Pb6'
_symmetry_space_group_name_H-M 'C 1 2/m 1'
_symmetry_Int_Tables_number 12
_cell_length_a 24.708
_cell_length_b 3.308
_cell_length_c 4.384
_cell_angle_alpha 90.00
_cell_angle_beta 98.16
_cell_angle_gamma 90.00
loop_
_symmetry_equiv_pos_as_xyz
'x,y,z'
'-x,-y,-z'
'-x,y,-z'
'x,-y,z'
'x+1/2,y+1/2,z'
'-x+1/2,-y+1/2,-z'
'-x+1/2,y+1/2,-z'
'x+1/2,-y+1/2,z'
loop_
_atom_site_label
_atom_site_type_symbol
_atom_site_fract_x
_atom_site_fract_y
_atom_site_fract_z
Li1 Li 0.102 0.000 0.142
Li2 Li 0.218 0.000 0.225
Pd1 Pd 0.000 0.000 0.000
Pb1 Pb 0.000 0.500 0.500
Pb2 Pb 0.158 0.500 0.681
```

Values from the calculation:
The energy relative to the elements comes out at -4.8 kcal/mol of atoms. For the energy above the lowest structure with this stoichiometry, the calculation gives 9.8 kJ per mole of atoms.